# 1
This record from the Alexandria database describes a relaxed structure of SrAgBRh2. The functional is PBE-GGA.

Cell: 4.3052 4.3052 4.4963 Å, 90.00 90.00 90.00°
Closest atoms and distances in Å follow each position.
Fractional coordinates of all 5 atoms:
Sr1 0.0000 0.0000 0.0000  4 Ag 3.04, 8 Rh 3.11
Ag1 0.5000 0.5000 0.0000  2 B 2.25
B1 0.5000 0.5000 0.5000  4 Rh 2.15, 2 Ag 2.25
Rh1 0.0000 0.5000 0.5000  2 B 2.15
Rh2 0.5000 0.0000 0.5000  2 B 2.15

## Properties
Its symmetry is P4/mmm, No. 123. The total energy comes out at -5.40 eV per atom.

---

# 2
This record from the Alexandria database describes a relaxed structure of Th4AgB3Rh12. The functional is PBE-GGA.

Cell: 7.6131 7.6131 7.6131 Å, 109.47 109.47 109.47°
Closest atoms and distances in Å follow each position.
Fractional coordinates of all 20 atoms:
Th1 0.0000 0.0000 0.5000  12 Rh 3.11-3.12
Th2 0.0000 0.5000 0.0000  12 Rh 3.11-3.12
Th3 0.5000 0.0000 0.0000  12 Rh 3.11-3.12
Th4 0.5000 0.5000 0.5000  12 Rh 3.11-3.12
Ag1 0.0000 0.0000 0.0000  6 Rh 2.47
B1 0.0000 0.5000 0.5000  2 Rh 1.92
B2 0.5000 0.0000 0.5000  2 Rh 1.92
B3 0.5000 0.5000 0.0000  2 Rh 1.92
Rh1 0.0000 0.2813 0.2813  1 B 1.92
Rh2 0.0000 0.7187 0.7187  1 B 1.92
Rh3 0.2500 0.5000 0.7500  2 B 2.20
Rh4 0.2500 0.7500 0.5000  2 B 2.20
Rh5 0.2813 0.0000 0.2813  1 B 1.92
Rh6 0.2813 0.2813 0.0000  1 B 1.92
Rh7 0.5000 0.2500 0.7500  2 B 2.20
Rh8 0.5000 0.7500 0.2500  2 B 2.20
Rh9 0.7187 0.0000 0.7187  1 B 1.92
Rh10 0.7187 0.7187 0.0000  1 B 1.92
Rh11 0.7500 0.2500 0.5000  2 B 2.20
Rh12 0.7500 0.5000 0.2500  2 B 2.20

## Properties
Its symmetry is Im-3m, No. 229. The total energy comes out at -7.68 eV per atom.

---

# 3
This record from the Alexandria database describes a relaxed structure of TiAgB2Rh. The functional is PBE-GGA.

Cell: 3.9593 3.9593 5.1031 Å, 90.00 90.00 90.00°
Closest atoms and distances in Å follow each position.
Fractional coordinates of all 5 atoms:
Ti1 0.0000 0.0000 0.0000  4 Rh 2.80
Ag1 0.5000 0.5000 0.5000  4 B 1.98
B1 0.0000 0.5000 0.5000  2 Ag 1.98
B2 0.5000 0.0000 0.5000  2 Ag 1.98
Rh1 0.5000 0.5000 0.0000  2 Ag 2.55, 4 Ti 2.80

## Properties
Its symmetry is P4/mmm, No. 123. The total energy comes out at -4.82 eV per atom.

---

# 4
This record from the Alexandria database describes a relaxed structure of VAg2BRh. The functional is PBE-GGA.

Cell: 5.0998 5.0998 4.3850 Å, 90.00 90.00 90.00°
Closest atoms and distances in Å follow each position.
Fractional coordinates of all 5 atoms:
V1 0.0000 0.0000 0.0000  2 Rh 2.19
Ag1 0.0000 0.5000 0.5000  2 Rh 2.55
Ag2 0.5000 0.0000 0.5000  2 Rh 2.55
B1 0.5000 0.5000 0.0000  8 Ag 3.36, 4 V 3.61
Rh1 0.0000 0.0000 0.5000  2 V 2.19

## Properties
Its symmetry is P4/mmm, No. 123. The total energy comes out at -4.04 eV per atom.

---

Number 1: ΔE_f -21 kJ per mole of atoms. Number 2: ΔE_f -61 kJ per mole of atoms. Number 3: ΔE_f 142 kJ per mole of atoms. Number 4: ΔE_f 167 kJ per mole of atoms.